1.
VASP calculation (PBE-GGA) on a relaxed structure of B3TeN.

abc: 3.7380 3.7380 3.7380
angles: 90.00 90.00 90.00
Atoms (fractional coordinates):
B (0.0000, 0.0000, 0.5000)
B (0.5000, 0.0000, 0.0000)
B (0.0000, 0.5000, 0.0000)
Te (0.5000, 0.5000, 0.5000)
N (0.0000, 0.0000, 0.0000)

Properties
Formation energy from raw total energies: 1.946 eV per atom
Uncorrected energy: -21.8 eV for the cell shown
Spin magnetization: 0.0 Bohr magnetons per cell

=====

2.
VASP calculation (PBE-GGA) on a relaxed structure of BeAg2Ru.

abc: 4.9612 4.9612 4.9612
angles: 135.43 135.43 64.87
Atoms (fractional coordinates):
Ag (0.5000, 0.5000, 0.0000)
Ag (0.0000, 0.0000, 0.0000)
Be (0.2500, 0.7500, 0.5000)
Ru (0.7500, 0.2500, 0.5000)

Properties
Formation energy: 491 meV/atom
Uncorrected energy: -16.7 eV for the cell shown
Spin magnetization: 0.0 Bohr magnetons per cell

=====

3.
VASP calculation (PBE-GGA) on a relaxed structure of Co2TeW.

abc: 4.1570 4.1570 5.2999
angles: 79.82 79.82 45.47
Atoms (fractional coordinates):
Co (0.4780, 0.4780, 0.5653)
Co (0.0220, 0.0220, 0.9347)
W (0.7500, 0.7500, 0.7500)
Te (0.2500, 0.2500, 0.2500)

Properties
Formation energy from raw total energies: 0.478 eV per atom
Uncorrected energy: -28.4 eV for the cell shown
Spin magnetization: 0.0 Bohr magnetons per cell

=====

4.
VASP calculation (PBE-GGA) on a relaxed structure of PaFe2B4.

abc: 3.0287 3.0902 7.7863
angles: 101.45 101.21 90.00
Atoms (fractional coordinates):
B (0.8951, 0.3951, 0.7901)
B (0.3424, 0.3424, 0.6849)
B (0.6576, 0.6576, 0.3151)
B (0.1049, 0.6049, 0.2099)
Fe (0.1978, 0.1978, 0.3957)
Fe (0.8022, 0.8022, 0.6043)
Pa (0.5000, 0.0000, 0.0000)

Properties
Formation energy: -375 meV/atom
Uncorrected energy: -55.8 eV for the cell shown
Spin magnetization: 3.4 Bohr magnetons per cell